1.
# Pr6As2PbS3 | Alexandria | PBE | relaxed
data_Pr6As2PbS3
_chemical_formula_sum 'Pr6 As2 Pb1 S3'
_symmetry_space_group_name_H-M 'P 1'
_symmetry_Int_Tables_number 1
_cell_length_a 9.5327
_cell_length_b 9.5327
_cell_length_c 8.5459
_cell_angle_alpha 102.44
_cell_angle_beta 102.44
_cell_angle_gamma 25.84
loop_
_symmetry_equiv_pos_as_xyz
'x,y,z'
loop_
_atom_site_label
_atom_site_type_symbol
_atom_site_fract_x
_atom_site_fract_y
_atom_site_fract_z
Pr1 Pr 0.0000 0.0000 0.2320
Pr2 Pr 0.0000 0.0000 0.7680
Pr3 Pr 0.3271 0.3271 0.4129
Pr4 Pr 0.3325 0.3325 0.9168
Pr5 Pr 0.6675 0.6675 0.0832
Pr6 Pr 0.6729 0.6729 0.5871
As1 As 0.1675 0.1675 0.8344
As2 As 0.8325 0.8325 0.1656
Pb1 Pb 0.5000 0.5000 0.5000
S1 S 0.1661 0.1661 0.3316
S2 S 0.5000 0.5000 0.0000
S3 S 0.8339 0.8339 0.6684
# E_form (uncorrected) in eV/atom: -1.585
# Crystal system: monoclinic
# V in Å³ per atom: 27.51

2.
# Dy2TeS2 | Alexandria | PBE | relaxed
data_Dy2TeS2
_chemical_formula_sum 'Dy4 Te2 S4'
_symmetry_space_group_name_H-M 'P 1'
_symmetry_Int_Tables_number 1
_cell_length_a 7.0703
_cell_length_b 7.0703
_cell_length_c 6.7306
_cell_angle_alpha 111.27
_cell_angle_beta 111.27
_cell_angle_gamma 97.97
loop_
_symmetry_equiv_pos_as_xyz
'x,y,z'
loop_
_atom_site_label
_atom_site_type_symbol
_atom_site_fract_x
_atom_site_fract_y
_atom_site_fract_z
Dy1 Dy 0.0884 0.9116 0.7500
Dy2 Dy 0.3245 0.6755 0.2500
Dy3 Dy 0.6755 0.3245 0.7500
Dy4 Dy 0.9116 0.0884 0.2500
Te1 Te 0.3728 0.6272 0.7500
Te2 Te 0.6272 0.3728 0.2500
S1 S 0.0492 0.2753 0.0256
S2 S 0.2753 0.0492 0.5256
S3 S 0.7247 0.9508 0.4744
S4 S 0.9508 0.7247 0.9744
# E_form (uncorrected) in eV/atom: -1.739
# Crystal system: monoclinic
# E above lowest polymorph in meV/atom: 126
# V in Å³ per atom: 27.77

3.
# MnCd2Ni | Alexandria | PBE | relaxed
data_MnCd2Ni
_chemical_formula_sum 'Mn2 Cd4 Ni2'
_symmetry_space_group_name_H-M 'P 1'
_symmetry_Int_Tables_number 1
_cell_length_a 5.8921
_cell_length_b 5.8921
_cell_length_c 5.8921
_cell_angle_alpha 102.30
_cell_angle_beta 102.30
_cell_angle_gamma 125.02
loop_
_symmetry_equiv_pos_as_xyz
'x,y,z'
loop_
_atom_site_label
_atom_site_type_symbol
_atom_site_fract_x
_atom_site_fract_y
_atom_site_fract_z
Mn1 Mn 0.0000 0.0000 0.0000
Mn2 Mn 0.7500 0.2500 0.5000
Cd1 Cd 0.1511 0.1250 0.5261
Cd2 Cd 0.3750 0.8489 0.9739
Cd3 Cd 0.5989 0.6250 0.4739
Cd4 Cd 0.8750 0.4011 0.0261
Ni1 Ni 0.2500 0.7500 0.5000
Ni2 Ni 0.5000 0.5000 0.0000
# Crystal system: tetragonal
# Energy relative to the elements in eV/atom: 0.468
# E above lowest polymorph in meV/atom: 395
# V in Å³ per atom: 18.58